The following is a DFT calculation (PBEsol) of crystalline ThAgHg2 at its relaxed geometry.

The calculation puts the total moment at 0.000 μB per atom. As for the formation energy: -105 kJ/mol of formula units.

The structure belongs to space group Fm-3m (No. 225); the cell edges are 7.135, 7.135 and 7.135 Å and the angles 90.00°, 90.00° and 90.00°. Symmetry generates all atoms from Th at (0.000, 0.000, 0.000), Ag at (0.000, 0.000, 0.500) and Hg at (0.250, 0.250, 0.250).


The following is a DFT calculation (PBEsol) of crystalline TlAg2Hg2 at its relaxed geometry.

The calculation puts the total moment at 0.000 μB per atom. As for the formation energy: 26 kJ/mol of formula units.

The structure belongs to space group P4/mbm (No. 127); the cell edges are 8.325, 8.325 and 3.055 Å and the angles 90.00°, 90.00° and 90.00°. Symmetry generates all atoms from Tl at (0.000, 0.000, 0.000), Ag at (0.169, 0.331, 0.500) and Hg at (0.129, 0.629, 0.000).


The following is a DFT calculation (PBEsol) of crystalline TlAg4Hg at its relaxed geometry.

The calculation puts the total moment at 0.000 μB per atom. As for the formation energy: 58 kJ/mol of formula units.

The structure belongs to space group F-43m (No. 216); the cell edges are 7.772, 7.772 and 7.772 Å and the angles 90.00°, 90.00° and 90.00°. Symmetry generates all atoms from Tl at (0.000, 0.000, 0.000), Ag at (0.125, 0.125, 0.375) and Hg at (0.250, 0.250, 0.750).


The following is a DFT calculation (PBEsol) of crystalline AgHg2W at its relaxed geometry.

The calculation puts the total moment at 0.000 μB per atom. As for the formation energy: 207 kJ/mol of formula units.

The structure belongs to space group Cm (No. 8); the cell edges are 10.956, 2.771 and 5.215 Å and the angles 90.00°, 114.49° and 90.00°. Symmetry generates all atoms from Ag at (0.000, 0.000, 0.000), Hg at (0.244, 0.000, 0.922), Hg at (0.480, 0.000, 0.482) and W at (0.234, 0.500, 0.424).


The following is a DFT calculation (PBEsol) of crystalline AgHg2W at its relaxed geometry.

The calculation puts the total moment at 0.196 μB per atom. As for the formation energy: 329 kJ/mol of formula units.

The structure belongs to space group I-4m2 (No. 119); the cell edges are 4.095, 4.095 and 8.650 Å and the angles 90.00°, 90.00° and 90.00°. Symmetry generates all atoms from Ag at (0.000, 0.000, 0.000), Hg at (0.000, 0.000, 0.500), Hg at (0.000, 0.500, 0.250) and W at (0.000, 0.500, 0.750).


The following is a DFT calculation (PBEsol) of crystalline AgHg2W at its relaxed geometry.

The calculation puts the total moment at 0.000 μB per atom. As for the formation energy: 178 kJ/mol of formula units.

The structure belongs to space group P4/mmm (No. 123); the cell edges are 2.848, 2.848 and 8.751 Å and the angles 90.00°, 90.00° and 90.00°. Symmetry generates all atoms from Ag at (0.000, 0.000, 0.000), Hg at (0.500, 0.500, 0.251) and W at (0.000, 0.000, 0.500).


The following is a DFT calculation (PBEsol) of crystalline AgHg2W at its relaxed geometry.

The calculation puts the total moment at 0.000 μB per atom. As for the formation energy: 224 kJ/mol of formula units.

The structure belongs to space group Pmm2 (No. 25); the cell edges are 2.825, 4.917 and 5.175 Å and the angles 90.00°, 90.00° and 90.00°. Symmetry generates all atoms from Ag at (0.000, 0.000, 0.000), Hg at (0.500, 0.000, 0.477), Hg at (0.500, 0.500, 0.862) and W at (0.000, 0.500, 0.357).


The following is a DFT calculation (PBEsol) of crystalline YAg2Hg at its relaxed geometry.

The calculation puts the total moment at 0.000 μB per atom. As for the formation energy: -128 kJ/mol of formula units.

The structure belongs to space group F-43m (No. 216); the cell edges are 6.859, 6.859 and 6.859 Å and the angles 90.00°, 90.00° and 90.00°. Symmetry generates all atoms from Y at (0.000, 0.000, 0.000), Ag at (0.000, 0.000, 0.500), Ag at (0.250, 0.250, 0.750) and Hg at (0.250, 0.250, 0.250).


The following is a DFT calculation (PBEsol) of crystalline Y2AgHg at its relaxed geometry.

The calculation puts the total moment at 0.000 μB per atom. As for the formation energy: -93 kJ/mol of formula units.

The structure belongs to space group C2/m (No. 12); the cell edges are 8.695, 3.798 and 6.538 Å and the angles 90.00°, 105.09° and 90.00°. Symmetry generates all atoms from Y at (0.245, 0.000, 0.244), Ag at (0.000, 0.500, 0.000) and Hg at (0.000, 0.000, 0.500).


The following is a DFT calculation (PBEsol) of crystalline YAg2Hg at its relaxed geometry.

The calculation puts the total moment at 0.000 μB per atom. As for the formation energy: -130 kJ/mol of formula units.

The structure belongs to space group I-4m2 (No. 119); the cell edges are 4.558, 4.558 and 7.776 Å and the angles 90.00°, 90.00° and 90.00°. Symmetry generates all atoms from Y at (0.000, 0.000, 0.000), Ag at (0.000, 0.000, 0.500), Ag at (0.000, 0.500, 0.750) and Hg at (0.000, 0.500, 0.250).


The following is a DFT calculation (PBEsol) of crystalline Y2Ag2Hg at its relaxed geometry.

The calculation puts the total moment at 0.000 μB per atom. As for the formation energy: -185 kJ/mol of formula units.

The structure belongs to space group P4/mbm (No. 127); the cell edges are 7.751, 7.751 and 3.761 Å and the angles 90.00°, 90.00° and 90.00°. Symmetry generates all atoms from Y at (0.175, 0.325, 0.000), Ag at (0.125, 0.625, 0.500) and Hg at (0.000, 0.000, 0.500).


The following is a DFT calculation (PBEsol) of crystalline YAg2Hg at its relaxed geometry.

The calculation puts the total moment at 0.000 μB per atom. As for the formation energy: -100 kJ/mol of formula units.

The structure belongs to space group P4mm (No. 99); the cell edges are 3.512, 3.512 and 6.634 Å and the angles 90.00°, 90.00° and 90.00°. Symmetry generates all atoms from Y at (0.000, 0.000, 0.000), Ag at (0.000, 0.000, 0.484), Ag at (0.500, 0.500, 0.271) and Hg at (0.500, 0.500, 0.718).


The following is a DFT calculation (PBEsol) of crystalline Y2AgHg at its relaxed geometry.

The calculation puts the total moment at 0.000 μB per atom. As for the formation energy: -185 kJ/mol of formula units.

The structure belongs to space group P4/mmm (No. 123); the cell edges are 5.125, 5.125 and 3.610 Å and the angles 90.00°, 90.00° and 90.00°. Symmetry generates all atoms from Y at (0.000, 0.500, 0.000), Ag at (0.000, 0.000, 0.500) and Hg at (0.500, 0.500, 0.500).


The following is a DFT calculation (PBEsol) of crystalline YAg2Hg at its relaxed geometry.

The calculation puts the total moment at 0.000 μB per atom. As for the formation energy: -79 kJ/mol of formula units.

The structure belongs to space group P4/mmm (No. 123); the cell edges are 4.405, 4.405 and 4.311 Å and the angles 90.00°, 90.00° and 90.00°. Symmetry generates all atoms from Y at (0.000, 0.000, 0.000), Ag at (0.000, 0.500, 0.500) and Hg at (0.500, 0.500, 0.000).


The following is a DFT calculation (PBEsol) of crystalline YAg2Hg at its relaxed geometry.

The calculation puts the total moment at 0.000 μB per atom. As for the formation energy: -124 kJ/mol of formula units.

The structure belongs to space group I4/mmm (No. 139); the cell edges are 4.596, 4.596 and 7.601 Å and the angles 90.00°, 90.00° and 90.00°. Symmetry generates all atoms from Y at (0.000, 0.000, 0.000), Ag at (0.000, 0.500, 0.250) and Hg at (0.000, 0.000, 0.500).